1.
The following is a DFT calculation (GGA-PBE) of a relaxed PrGdSi4 crystal.

Unit cell a=5.420 b=5.420 c=5.420 alpha=60.00 beta=60.00 gamma=60.00
Fractional positions:
Pr  0.000  0.000  0.000
Gd  0.250  0.250  0.250
Si  0.129  0.624  0.624
Si  0.624  0.129  0.624
Si  0.624  0.624  0.129
Si  0.624  0.624  0.624

Symmetry ... F-43m, No. 216

=====

2.
The following is a DFT calculation (GGA-PBE) of a relaxed PrGd2Si crystal.

Unit cell a=3.786 b=3.786 c=7.766 alpha=90.00 beta=90.00 gamma=90.00
Fractional positions:
Pr  0.000  0.000  0.000
Gd  0.500  0.500  0.310
Gd  0.500  0.500  0.690
Si  0.000  0.000  0.500

Excess energy over the best structure of this formula in the dataset ... 0.002 eV per atom
Symmetry ... P4/mmm, No. 123

=====

3.
The following is a DFT calculation (GGA-PBE) of a relaxed PrGd2Si crystal.

Unit cell a=4.730 b=4.730 c=4.709 alpha=90.00 beta=90.00 gamma=90.00
Fractional positions:
Pr  0.000  0.000  0.000
Gd  0.000  0.500  0.500
Gd  0.500  0.000  0.500
Si  0.500  0.500  0.000

Excess energy over the best structure of this formula in the dataset ... 0.000 eV per atom
Symmetry ... P4/mmm, No. 123

=====

4.
The following is a DFT calculation (GGA-PBE) of a relaxed PrGd2Si crystal.

Unit cell a=11.067 b=11.067 c=11.067 alpha=19.06 beta=19.06 gamma=19.06
Fractional positions:
Pr  0.000  0.000  0.000
Gd  0.108  0.108  0.108
Gd  0.892  0.892  0.892
Si  0.500  0.500  0.500

Excess energy over the best structure of this formula in the dataset ... 0.230 eV per atom
Symmetry ... R-3m, No. 166

=====

no.,ΔE_f (raw) (eV/atom),raw total energy (eV per atom),magnetization (Bohr magnetons per cell)
1,-0.307,-7.065,6.92
2,-0.266,-9.857,15.11
3,-0.268,-9.859,14.79
4,-0.037,-9.628,14.87